Record 1
Here is a geometry-optimized La5TlSi2 structure from the Alexandria database. Energies are from PBE.

Unit cell a=9.3874 b=9.3874 c=9.3874 alpha=129.09 beta=129.09 gamma=74.87
Closest atoms and distances in Å follow each position.
Fractional positions:
La 0.0000 0.0000 0.0000  4 Si 3.25, 8 La 3.62
La 0.0382 0.5382 0.8533  3 Si 3.15-3.17, 2 Tl 3.41
La 0.1849 0.0382 0.5000  3 Si 3.15-3.17, 2 Tl 3.41
La 0.3151 0.8151 0.8533  3 Si 3.15-3.17, 2 Tl 3.41
La 0.4618 0.3151 0.5000  3 Si 3.15-3.17, 2 Tl 3.41
La 0.5000 0.5000 0.0000  4 Si 3.25, 8 La 3.62
La 0.5382 0.6849 0.5000  3 Si 3.15-3.17, 2 Tl 3.41
La 0.6849 0.1849 0.1467  3 Si 3.15-3.17, 2 Tl 3.41
La 0.8151 0.9618 0.5000  3 Si 3.15-3.17, 2 Tl 3.41
La 0.9618 0.4618 0.1467  3 Si 3.15-3.17, 2 Tl 3.41
Tl 0.2500 0.2500 0.0000  10 La 3.41-3.73
Tl 0.7500 0.7500 0.0000  10 La 3.41-3.73
Si 0.1143 0.3857 0.5000  1 Si 2.61
Si 0.3857 0.8857 0.2715  1 Si 2.61
Si 0.6143 0.1143 0.7285  1 Si 2.61
Si 0.8857 0.6143 0.5000  1 Si 2.61

Results
symmetry: No. 140
size of the total moment: 0.002 μB per formula unit
VASP energy: -84.3 eV per cell
formation energy from raw total energies: -0.537 eV/atom

Record 2
Here is a geometry-optimized NdY4Cd structure from the Alexandria database. Energies are from PBE.

Unit cell a=3.6223 b=3.6223 c=14.1822 alpha=90.00 beta=90.00 gamma=90.00
Closest atoms and distances in Å follow each position.
Fractional positions:
Nd 0.0000 0.0000 0.0000  8 Y 3.61, 4 Nd 3.62
Y 0.0000 0.0000 0.3572  4 Cd 3.26, 8 Y 3.60-3.62
Y 0.0000 0.0000 0.6428  4 Cd 3.26, 8 Y 3.60-3.62
Y 0.5000 0.5000 0.1792  8 Y 3.60-3.62, 4 Nd 3.61
Y 0.5000 0.5000 0.8208  8 Y 3.60-3.62, 4 Nd 3.61
Cd 0.5000 0.5000 0.5000  8 Y 3.26, 4 Cd 3.62

Results
polymorph energy (0 for the lowest one): 0.0 kJ per mole of atoms
symmetry: No. 123
size of the total moment: 0.002 μB per formula unit
VASP energy: -32.1 eV per cell

Record 3
Here is a geometry-optimized PrNd12Er3 structure from the Alexandria database. Energies are from PBE.

Unit cell a=5.1634 b=5.1634 c=20.6122 alpha=90.00 beta=90.00 gamma=90.00
Closest atoms and distances in Å follow each position.
Fractional positions:
Pr 0.0000 0.0000 0.0000  12 Nd 3.65-3.68
Nd 0.0000 0.5000 0.1276  2 Er 3.64, 8 Nd 3.64-3.68, 2 Pr 3.68
Nd 0.0000 0.5000 0.3758  8 Nd 3.63-3.65, 4 Er 3.63-3.64
Nd 0.0000 0.5000 0.6242  8 Nd 3.63-3.65, 4 Er 3.63-3.64
Nd 0.0000 0.5000 0.8724  2 Er 3.64, 8 Nd 3.64-3.68, 2 Pr 3.68
Nd 0.5000 0.0000 0.1276  2 Er 3.64, 8 Nd 3.64-3.68, 2 Pr 3.68
Nd 0.5000 0.0000 0.3758  8 Nd 3.63-3.65, 4 Er 3.63-3.64
Nd 0.5000 0.0000 0.6242  8 Nd 3.63-3.65, 4 Er 3.63-3.64
Nd 0.5000 0.0000 0.8724  2 Er 3.64, 8 Nd 3.64-3.68, 2 Pr 3.68
Nd 0.5000 0.5000 0.0000  4 Pr 3.65, 8 Nd 3.68
Nd 0.5000 0.5000 0.2524  8 Nd 3.63-3.64, 4 Er 3.65
Nd 0.5000 0.5000 0.5000  8 Nd 3.64, 4 Er 3.65
Nd 0.5000 0.5000 0.7476  8 Nd 3.63-3.64, 4 Er 3.65
Er 0.0000 0.0000 0.2518  12 Nd 3.63-3.65
Er 0.0000 0.0000 0.5000  12 Nd 3.64-3.65
Er 0.0000 0.0000 0.7482  12 Nd 3.63-3.65

Results
symmetry: No. 123
size of the total moment: 0.000 μB per formula unit
VASP energy: -75.5 eV per cell

Record 4
Here is a geometry-optimized Tl2VCd structure from the Alexandria database. Energies are from PBE.

Unit cell a=5.0897 b=5.0897 c=5.0897 alpha=60.00 beta=60.00 gamma=60.00
Closest atoms and distances in Å follow each position.
Fractional positions:
Tl 0.2500 0.2500 0.2500  4 Cd 3.12, 4 V 3.12
Tl 0.7500 0.7500 0.7500  4 Cd 3.12, 4 V 3.12
V 0.0000 0.0000 0.0000  8 Tl 3.12
Cd 0.5000 0.5000 0.5000  8 Tl 3.12

Results
polymorph energy (0 for the lowest one): 0.0 kJ per mole of atoms
symmetry: No. 225
size of the total moment: 3.430 μB per formula unit
VASP energy: -12.8 eV per cell

Record 5
Here is a geometry-optimized Pr2NbO6 structure from the Alexandria database. Energies are from PBE.

Unit cell a=5.2376 b=5.2376 c=10.5524 alpha=90.00 beta=90.00 gamma=90.00
Closest atoms and distances in Å follow each position.
Fractional positions:
Pr 0.0000 0.0000 0.1688  6 O 2.37-2.44
Pr 0.0000 0.0000 0.8312  6 O 2.37-2.44
Pr 0.5000 0.5000 0.3312  6 O 2.37-2.44
Pr 0.5000 0.5000 0.6688  6 O 2.37-2.44
Nb 0.0000 0.0000 0.5000  6 O 2.02-2.03
Nb 0.5000 0.5000 0.0000  6 O 2.02-2.03
O 0.1822 0.1822 0.3570  1 Nb 2.02
O 0.1822 0.1822 0.6430  1 Nb 2.02
O 0.2256 0.2256 0.0000  1 Nb 2.03
O 0.2744 0.7256 0.5000  1 Nb 2.03
O 0.3178 0.6822 0.1430  1 Nb 2.02
O 0.3178 0.6822 0.8570  1 Nb 2.02
O 0.6822 0.3178 0.1430  1 Nb 2.02
O 0.6822 0.3178 0.8570  1 Nb 2.02
O 0.7256 0.2744 0.5000  1 Nb 2.03
O 0.7744 0.7744 0.0000  1 Nb 2.03
O 0.8178 0.8178 0.3570  1 Nb 2.02
O 0.8178 0.8178 0.6430  1 Nb 2.02

Results
symmetry: No. 136
size of the total moment: 1.051 μB per formula unit
VASP energy: -148.2 eV per cell
formation energy from raw total energies: -2.745 eV/atom

Record 6
Here is a geometry-optimized Cs2Au4I5 structure from the Alexandria database. Energies are from PBE.

Unit cell a=7.6141 b=7.6141 c=7.7548 alpha=95.83 beta=95.83 gamma=72.47
Closest atoms and distances in Å follow each position.
Fractional positions:
Cs 0.1086 0.1086 0.2475  6 I 3.81-4.02, 2 Au 3.85-4.09
Cs 0.8914 0.8914 0.7525  6 I 3.81-4.02, 2 Au 3.85-4.09
Au 0.3445 0.3445 0.6691  2 Au 2.82-2.86, 3 I 2.94-3.00
Au 0.4240 0.4240 0.3435  3 Au 2.82-2.87, 3 I 2.85-2.93
Au 0.5760 0.5760 0.6565  3 Au 2.82-2.87, 3 I 2.85-2.93
Au 0.6555 0.6555 0.3309  2 Au 2.82-2.86, 3 I 2.94-3.00
I 0.0439 0.6263 0.2917  2 Au 2.85-2.94
I 0.3737 0.9561 0.7083  2 Au 2.85-2.94
I 0.5000 0.5000 0.0000  4 Au 2.93-3.00
I 0.6263 0.0439 0.2917  2 Au 2.85-2.94
I 0.9561 0.3737 0.7083  2 Au 2.85-2.94

Results
symmetry: No. 12
size of the total moment: 0.000 μB per formula unit
VASP energy: -27.5 eV per cell
formation energy from raw total energies: -0.444 eV/atom

Record 7
Here is a geometry-optimized Sm5Dy2Er4 structure from the Alexandria database. Energies are from PBE.

Unit cell a=12.6509 b=12.6509 c=12.6509 alpha=164.07 beta=138.08 gamma=45.11
Closest atoms and distances in Å follow each position.
Fractional positions:
Sm 0.0000 0.0000 0.0000  4 Er 3.33, 2 Sm 3.51
Sm 0.0547 0.3547 0.7001  3 Dy 3.41-3.80, 3 Er 3.43-3.55, 3 Sm 3.51-3.62
Sm 0.3454 0.6453 0.7001  3 Dy 3.41-3.80, 3 Er 3.43-3.55, 3 Sm 3.51-3.62
Sm 0.6546 0.3547 0.2999  3 Dy 3.41-3.80, 3 Er 3.43-3.55, 3 Sm 3.51-3.62
Sm 0.9453 0.6453 0.2999  3 Dy 3.41-3.80, 3 Er 3.43-3.55, 3 Sm 3.51-3.62
Dy 0.2692 0.7692 0.5000  1 Er 3.13, 2 Sm 3.41, 2 Dy 3.51
Dy 0.7308 0.2308 0.5000  1 Er 3.13, 2 Sm 3.41, 2 Dy 3.51
Er 0.3131 0.5000 0.8131  7 Er 3.32-3.51, 4 Sm 3.33-3.55
Er 0.4033 0.9033 0.5000  1 Dy 3.13, 6 Er 3.32-3.51, 4 Sm 3.43
Er 0.5967 0.0967 0.5000  1 Dy 3.13, 6 Er 3.32-3.51, 4 Sm 3.43
Er 0.6869 0.5000 0.1869  7 Er 3.32-3.51, 4 Sm 3.33-3.55

Results
polymorph energy (0 for the lowest one): 11.4 kJ per mole of atoms
symmetry: No. 71
size of the total moment: 0.000 μB per formula unit
VASP energy: -48.8 eV per cell

Record 8
Here is a geometry-optimized Zn5CuAg3 structure from the Alexandria database. Energies are from PBE.

Unit cell a=7.8782 b=7.8782 c=5.2379 alpha=90.00 beta=90.00 gamma=120.00
Closest atoms and distances in Å follow each position.
Fractional positions:
Zn 0.0000 0.2793 0.2500  2 Cu 2.56, 5 Ag 2.68-2.74
Zn 0.0000 0.7207 0.7500  2 Cu 2.56, 5 Ag 2.68-2.74
Zn 0.2793 0.0000 0.2500  2 Cu 2.56, 5 Ag 2.68-2.74
Zn 0.2793 0.2793 0.7500  2 Cu 2.56, 5 Ag 2.68-2.74
Zn 0.3333 0.6667 0.0000  2 Zn 2.62, 6 Ag 2.79
Zn 0.3333 0.6667 0.5000  2 Zn 2.62, 6 Ag 2.79
Zn 0.6667 0.3333 0.0000  2 Zn 2.62, 6 Ag 2.79
Zn 0.6667 0.3333 0.5000  2 Zn 2.62, 6 Ag 2.79
Zn 0.7207 0.0000 0.7500  2 Cu 2.56, 5 Ag 2.68-2.74
Zn 0.7207 0.7207 0.2500  2 Cu 2.56, 5 Ag 2.68-2.74
Cu 0.0000 0.0000 0.0000  6 Zn 2.56, 2 Cu 2.62
Cu 0.0000 0.0000 0.5000  6 Zn 2.56, 2 Cu 2.62
Ag 0.0000 0.3808 0.7500  9 Zn 2.68-2.79
Ag 0.0000 0.6192 0.2500  9 Zn 2.68-2.79
Ag 0.3808 0.0000 0.7500  9 Zn 2.68-2.79
Ag 0.3808 0.3808 0.2500  9 Zn 2.68-2.79
Ag 0.6192 0.0000 0.2500  9 Zn 2.68-2.79
Ag 0.6192 0.6192 0.7500  9 Zn 2.68-2.79

Results
symmetry: No. 193
size of the total moment: 0.000 μB per formula unit
VASP energy: -37.9 eV per cell

Record 9
Here is a geometry-optimized TbPm2Pr4Th structure from the Alexandria database. Energies are from PBE.

Unit cell a=6.1274 b=6.1420 c=7.3525 alpha=90.00 beta=90.15 gamma=90.00
Closest atoms and distances in Å follow each position.
Fractional positions:
Tb 0.0000 0.0000 0.0000  8 Pr 3.59-3.60, 2 Pm 3.68
Pm 0.0000 0.0000 0.5000  8 Pr 3.55-3.56, 2 Tb 3.68
Pm 0.5000 0.5000 0.0000  8 Pr 3.59-3.60, 2 Th 3.68
Pr 0.0000 0.5000 0.2559  2 Th 3.55, 4 Pm 3.56-3.60, 2 Pr 3.59-3.76, 2 Tb 3.60
Pr 0.0000 0.5000 0.7441  2 Th 3.55, 4 Pm 3.56-3.60, 2 Pr 3.59-3.76, 2 Tb 3.60
Pr 0.5002 0.0000 0.2559  4 Pm 3.55-3.60, 2 Th 3.56, 2 Pr 3.59-3.76, 2 Tb 3.59-3.60
Pr 0.4998 0.0000 0.7441  4 Pm 3.55-3.60, 2 Th 3.56, 2 Pr 3.59-3.76, 2 Tb 3.59-3.60
Th 0.5000 0.5000 0.5000  8 Pr 3.55-3.56, 2 Pm 3.68

Results
symmetry: No. 10
size of the total moment: 0.000 μB per formula unit
VASP energy: -39.6 eV per cell